(1)
Material: GaSn3C
Method: DFT, PBE-GGA
State: relaxed

Cell lengths 4.795, 4.795, 4.795 Å; angles 90.00, 90.00, 90.00 degrees
Fractional positions:
C: 0.000 0.000 0.000
Sn: 0.000 0.500 0.000
Sn: 0.000 0.000 0.500
Sn: 0.500 0.000 0.000
Ga: 0.500 0.500 0.500

* formation enthalpy at 0 K: 0.818 eV/atom

(2)
Material: NbCo
Method: DFT, PBE-GGA
State: relaxed

Cell lengths 5.007, 5.007, 4.875 Å; angles 90.00, 90.00, 90.00 degrees
Fractional positions:
Nb: 0.795 0.795 0.000
Nb: 0.295 0.705 0.500
Nb: 0.705 0.295 0.500
Nb: 0.205 0.205 0.000
Co: 0.687 0.313 0.000
Co: 0.187 0.187 0.500
Co: 0.813 0.813 0.500
Co: 0.313 0.687 0.000

* formation enthalpy at 0 K: 0.257 eV/atom

(3)
Material: Pr5Sm2Ru4
Method: DFT, PBE-GGA
State: relaxed

Cell lengths 3.574, 7.186, 12.414 Å; angles 89.90, 98.28, 90.00 degrees
Fractional positions:
Pr: 0.132 0.843 0.264
Pr: 0.868 0.157 0.736
Pr: 0.231 0.288 0.462
Pr: 0.500 0.000 0.000
Pr: 0.769 0.712 0.538
Sm: 0.917 0.626 0.834
Sm: 0.083 0.374 0.166
Ru: 0.668 0.540 0.336
Ru: 0.026 0.698 0.053
Ru: 0.332 0.460 0.664
Ru: 0.974 0.302 0.947

* formation enthalpy at 0 K: 0.069 eV/atom

(4)
Material: Er3Zr
Method: DFT, PBE-GGA
State: relaxed

Cell lengths 5.460, 5.460, 5.460 Å; angles 60.00, 60.00, 60.00 degrees
Each line ends with the local moment (μB).
Fractional positions:
Zr: 0.500 0.500 0.500  0.96
Er: 0.000 0.000 0.000  0.28
Er: 0.750 0.750 0.750  0.48
Er: 0.250 0.250 0.250  0.48

* formation enthalpy at 0 K: 0.200 eV/atom

(5)
Material: PmInS2
Method: DFT, PBE-GGA
State: relaxed

Cell lengths 4.115, 4.115, 7.856 Å; angles 74.80, 74.80, 59.99 degrees
Fractional positions:
Pm: 0.000 0.000 0.000
In: 0.500 0.500 0.500
S: 0.736 0.736 0.793
S: 0.264 0.264 0.207

* ΔE_f (raw): -132.70 kJ per mole of atoms

(6)
Material: KNa
Method: DFT, PBE-GGA
State: relaxed

Cell lengths 12.059, 20.345, 7.248 Å; angles 90.00, 90.00, 90.00 degrees
Fractional positions:
K: 0.335 0.000 0.000
K: 0.665 0.000 0.000
K: 0.915 0.750 0.250
K: 0.585 0.750 0.250
K: 0.335 0.500 0.500
K: 0.665 0.500 0.500
K: 0.915 0.250 0.750
K: 0.585 0.250 0.750
K: 0.835 0.000 0.500
K: 0.165 0.000 0.500
K: 0.415 0.750 0.750
K: 0.085 0.750 0.750
K: 0.835 0.500 0.000
K: 0.165 0.500 0.000
K: 0.415 0.250 0.250
K: 0.085 0.250 0.250
Na: 0.000 0.916 0.000
Na: 0.000 0.084 0.000
Na: 0.250 0.834 0.250
Na: 0.250 0.666 0.250
Na: 0.000 0.416 0.500
Na: 0.000 0.584 0.500
Na: 0.250 0.334 0.750
Na: 0.250 0.166 0.750
Na: 0.500 0.916 0.500
Na: 0.500 0.084 0.500
Na: 0.750 0.834 0.750
Na: 0.750 0.666 0.750
Na: 0.500 0.416 0.000
Na: 0.500 0.584 0.000
Na: 0.750 0.334 0.250
Na: 0.750 0.166 0.250

* formation enthalpy at 0 K: 0.055 eV/atom

Please write out number 1 again, unchanged.
Material: GaSn3C
Method: DFT, PBE-GGA
State: relaxed

Cell lengths 4.795, 4.795, 4.795 Å; angles 90.00, 90.00, 90.00 degrees
Fractional positions:
C: 0.000 0.000 0.000
Sn: 0.000 0.500 0.000
Sn: 0.000 0.000 0.500
Sn: 0.500 0.000 0.000
Ga: 0.500 0.500 0.500

* formation enthalpy at 0 K: 0.818 eV/atom

Please write out number 1 again, unchanged.
Material: GaSn3C
Method: DFT, PBE-GGA
State: relaxed

Cell lengths 4.795, 4.795, 4.795 Å; angles 90.00, 90.00, 90.00 degrees
Fractional positions:
C: 0.000 0.000 0.000
Sn: 0.000 0.500 0.000
Sn: 0.000 0.000 0.500
Sn: 0.500 0.000 0.000
Ga: 0.500 0.500 0.500

* formation enthalpy at 0 K: 0.818 eV/atom